GdHgGe | Alexandria | GGA-PBE | relaxed; total magnetic moment = 7.10 μB/cell; ΔH_f (0 K) = -34.9 kJ/mol of atoms; crystal system = cubic; ρ = 9.24 g cm⁻³
1.0
4.7826 0.0000 0.0000
2.3913 4.1418 0.0000
2.3913 1.3806 3.9049
Ge Gd Hg
1 1 1
direct
0.2500 0.2500 0.2500
0.0000 0.0000 0.0000
0.5000 0.5000 0.5000